[1]
AcDyAs2Rh2: optimized geometry, PBE.

```
AcDyAs2Rh2
1.0
4.2877 0.0000 0.0000
-2.1439 3.7133 0.0000
0.0000 0.0000 8.2019
As Dy Ac Rh
2 1 1 2
Direct
0.3333 0.6667 0.2747
0.6667 0.3333 0.7253
0.0000 0.0000 0.5000
0.0000 0.0000 0.0000
0.3333 0.6667 0.7317
0.6667 0.3333 0.2683
```

Properties
DFT formation energy   -6.434 eV per formula unit
Uncorrected energy   -6.524 eV/atom
SG   No. 164

[2]
TlAg2PO4: optimized geometry, PBE.

```
TlAg2PO4
1.0
5.9397 0.0000 0.0000
2.9699 4.4969 -1.2213
2.9699 -0.0342 4.6597
O Ag Tl P
4 2 1 1
Direct
0.4918 0.5401 0.7823
0.8141 0.4599 0.2177
0.5082 0.2177 0.4599
0.1859 0.7823 0.5401
0.0000 0.2882 0.7118
0.0000 0.7118 0.2882
0.5000 0.0000 0.0000
0.5000 0.5000 0.5000
```

Properties
Energy relative to the elements, uncorrected   -28.4 kcal/mol of atoms
Uncorrected energy   -5.394 eV/atom
SG   No. 23

[3]
LiSnS: optimized geometry, PBE.

```
LiSnS
1.0
-2.9128 -5.0215 0.2985
0.5354 0.0335 5.7880
-6.4322 3.7651 0.5731
Sn S Li
4 4 4
Direct
0.7406 0.7406 0.3750
0.2594 0.7406 0.6250
0.7406 0.2594 0.1250
0.2594 0.2594 0.8750
0.8662 0.5000 0.7500
0.5000 0.8662 0.0000
0.5000 0.1338 0.5000
0.1338 0.5000 0.2500
0.0000 0.7355 0.0000
0.2645 0.0000 0.2500
0.0000 0.2645 0.5000
0.7355 0.0000 0.7500
```

Properties
Energy relative to the elements, uncorrected   -10.5 kcal/mol of atoms
Distance to the lowest polymorph of the same formula   29.91 kJ per mole of atoms
Uncorrected energy   -3.804 eV/atom
SG   No. 91

[4]
FeReIr2: optimized geometry, PBE.

```
FeReIr2
1.0
5.3136 -0.0080 -0.0046
2.7691 4.5351 0.0046
-3.5016 -3.2272 2.3577
Ir Re Fe
2 1 1
Direct
0.7447 0.2447 0.5000
0.0299 0.0299 0.0000
0.4721 0.4721 0.0000
0.2532 0.7532 0.5000
```

Properties
DFT formation energy   0.616 eV per formula unit
Distance to the lowest polymorph of the same formula   28.68 kJ per mole of atoms
Uncorrected energy   -9.504 eV/atom
SG   No. 44

Number 1: calculated density 9.5 g cm⁻³. Number 2: calculated density 6.9 g cm⁻³. Number 3: calculated density 4.1 g cm⁻³. Number 4: calculated density 18.3 g cm⁻³.